Here is PuMnVOs after structural relaxation from Alexandria. Energies are from GGA-PBE.

Unit cell a=4.5087 b=4.5087 c=4.5087 alpha=60.00 beta=60.00 gamma=60.00
Last column: nearest neighbours and their distance in Å.
Sites, in units of the cell vectors:
Mn  0.0000  0.0000  0.0000  4 Pu 2.76, 4 V 2.76
Os  0.5000  0.5000  0.5000  4 Pu 2.76, 4 V 2.76
V  0.7500  0.7500  0.7500  4 Os 2.76, 4 Mn 2.76
Pu  0.2500  0.2500  0.2500  4 Mn 2.76, 4 Os 2.76

Computed properties:
Density: 13.8 g/cm³
ΔH_f (0 K): 0.1069 eV per atom